The following is a PBE calculation of a relaxed Sr3Au11 crystal, from the Alexandria database.

Unit cell a=4.650 b=8.858 c=8.858 alpha=68.64 beta=74.78 gamma=74.78
Element x y z (fractional)
Au (0.876, 0.847, 0.401)
Au (0.500, 0.695, 0.305)
Au (0.124, 0.599, 0.153)
Au (0.500, 0.305, 0.695)
Au (0.329, 0.034, 0.309)
Au (0.876, 0.401, 0.847)
Au (0.671, 0.691, 0.966)
Sr (0.306, 0.694, 0.694)
Au (0.124, 0.153, 0.599)
Au (0.000, 0.500, 0.500)
Au (0.671, 0.966, 0.691)
Sr (0.694, 0.306, 0.306)
Sr (0.000, 0.000, 0.000)
Au (0.329, 0.309, 0.034)

Calculated values
Energy relative to the elements in kJ/mol of formula units: -694.6
Calculated density in g/cm3: 12.522
VASP energy in Ry per atom: -0.2535
Symmetry: Immm, No. 71
D(E_F) in states/eV/cell: 4.18